This record from Alexandria describes a relaxed structure of Ca2MnAgPb. The functional is PBE.

The structure in POSCAR format:
```
Ca2MnAgPb
1.0
5.998 0.000 0.000
0.000 5.998 0.000
0.000 0.000 5.114
Ca Mn Ag Pb
2 1 1 1
Cartesian
0.000 2.999 0.000
2.999 0.000 0.000
0.000 0.000 2.557
2.999 2.999 2.557
0.000 0.000 0.000
```

Output
* density: 4.06 g/cm³
* DOS at the Fermi energy: 2.6 states/eV/f.u.
* symmetry: No. 123
* energy relative to the elements: 0.406 eV/atom